Entry 1:
{
  "formula": "PmNd3Pu2S6",
  "functional": "PBE",
  "state": "optimized geometry",
  "lattice_angstrom": [[6.963, -0.001, 0.002], [-3.481, 6.030, 0.002], [-1.160, -2.008, 6.598]],
  "species": ["Pm", "Nd", "Nd", "Nd", "Pu", "Pu", "S", "S", "S", "S", "S", "S"],
  "frac_coords": [[0.000, 0.000, 0.000], [0.165, 0.835, 0.500], [0.835, 0.165, 0.500], [0.500, 0.500, 0.500], [0.333, 0.667, 0.000], [0.667, 0.333, 0.000], [0.919, 0.581, 0.758], [0.742, 0.742, 0.242], [0.081, 0.419, 0.242], [0.581, 0.919, 0.758], [0.258, 0.258, 0.758], [0.419, 0.081, 0.242]],
  "dft_energy_ev_per_atom": -8.00,
  "spacegroup": "C2/m (12)",
  "total_magnetization_mub_per_cell": 11.24,
  "e_form_raw_ev_per_atom": -1.96,
  "mass_density_g_cm3": 7.5
}

=====

Entry 2:
{
  "formula": "Pm3Nd2PuS6",
  "functional": "PBE",
  "state": "optimized geometry",
  "lattice_angstrom": [[-2.883, -0.506, -2.750], [-3.352, -5.782, 4.578], [-2.509, 7.593, 4.166]],
  "species": ["Pm", "Pm", "Pm", "Nd", "Nd", "Pu", "S", "S", "S", "S", "S", "S"],
  "frac_coords": [[0.500, 0.500, 0.000], [0.833, 0.165, 0.666], [0.167, 0.835, 0.334], [0.835, 0.669, 0.670], [0.165, 0.331, 0.330], [0.500, 0.000, 0.000], [0.335, 0.919, 0.670], [0.667, 0.585, 0.333], [0.665, 0.081, 0.330], [0.999, 0.245, 0.997], [0.001, 0.755, 0.003], [0.333, 0.415, 0.667]],
  "dft_energy_ev_per_atom": -7.24,
  "spacegroup": "C2/m (12)",
  "total_magnetization_mub_per_cell": 5.83,
  "e_form_raw_ev_per_atom": -2.00,
  "mass_density_g_cm3": 6.9
}